## BaGdCo2O5 (PBE+U)

Data for an optimized crystal structure of BaGdCo2O5.

- V (Å³/cell) = 119.01
- mass density (g cm⁻³) = 6.9
- SG = P4/mmm
- total DFT energy (no corrections) (eV per atom) = -7.69

The structure in POSCAR format:
```
BaGdCo2O5
1.0
3.921 0.000 0.000
0.000 3.921 0.000
0.000 0.000 7.741
Ba Gd Co O
1 1 2 5
direct
0.000 0.000 0.000 Ba
0.000 0.000 0.500 Gd
0.500 0.500 0.260 Co
0.500 0.500 0.740 Co
0.000 0.500 0.312 O
0.000 0.500 0.688 O
0.500 0.000 0.312 O
0.500 0.000 0.688 O
0.500 0.500 0.000 O
```